# 1
Material: Li2MoN
Method: DFT, PBE
State: optimized geometry

Unit cell a=5.2921 b=5.2921 c=5.2921 alpha=98.23 beta=98.23 gamma=135.53
Fractional positions:
1 Li 0.0240 0.1250 0.3990
2 Li 0.3750 0.9760 0.1010
3 Li 0.7260 0.6250 0.6010
4 Li 0.8750 0.2740 0.8990
5 Mo 0.2500 0.7500 0.5000
6 Mo 0.5000 0.5000 0.0000
7 N 0.0000 0.0000 0.0000
8 N 0.7500 0.2500 0.5000

Energy relative to the elements, uncorrected, eV per atom: 0.17
DOS at the Fermi energy, states/eV/f.u.: 2.27
V, Å³/cell: 96.1
VASP energy, eV per atom: -5.580
Mass density, g/cm³: 4.28

# 2
Material: Li2MoN2
Method: DFT, PBE
State: optimized geometry

Unit cell a=5.5951 b=5.5951 c=3.0720 alpha=90.00 beta=90.00 gamma=90.00
Fractional positions:
1 Li 0.1315 0.3685 0.0000
2 Li 0.3685 0.8685 0.0000
3 Li 0.6315 0.1315 0.0000
4 Li 0.8685 0.6315 0.0000
5 Mo 0.0000 0.0000 0.5000
6 Mo 0.5000 0.5000 0.5000
7 N 0.1899 0.6899 0.5000
8 N 0.3101 0.1899 0.5000
9 N 0.6899 0.8101 0.5000
10 N 0.8101 0.3101 0.5000

Energy relative to the elements, uncorrected, eV per atom: -0.29
DOS at the Fermi energy, states/eV/f.u.: 0.56
V, Å³/cell: 96.2
VASP energy, eV per atom: -6.548
Mass density, g/cm³: 4.76

# 3
Material: LiMoN2
Method: DFT, PBE
State: optimized geometry

Unit cell a=5.6000 b=5.6000 c=5.6000 alpha=30.20 beta=30.20 gamma=30.20
Fractional positions:
1 Li 0.0000 0.0000 0.0000
2 Mo 0.1726 0.1726 0.1726
3 N 0.4299 0.4299 0.4299
4 N 0.5834 0.5834 0.5834

Excess energy over the best structure of this formula in the dataset, eV/atom: 0.000
Energy relative to the elements, uncorrected, eV per atom: -0.50
DOS at the Fermi energy, states/eV/f.u.: 4.06
V, Å³/cell: 39.4
VASP energy, eV per atom: -7.849
Mass density, g/cm³: 5.52

# 4
Material: Li2MoN2
Method: DFT, PBE
State: optimized geometry

Unit cell a=2.9718 b=2.9718 c=8.1912 alpha=101.81 beta=101.81 gamma=59.99
Fractional positions:
1 Li 0.0593 0.0593 0.2144
2 Li 0.9407 0.9407 0.7856
3 Mo 0.5000 0.5000 0.5000
4 N 0.2263 0.2263 0.6585
5 N 0.7737 0.7737 0.3415

Energy relative to the elements, uncorrected, eV per atom: -0.49
DOS at the Fermi energy, states/eV/f.u.: 1.82
V, Å³/cell: 60.9
VASP energy, eV per atom: -6.747
Mass density, g/cm³: 3.76

# 5
Material: Li2Mo2N
Method: DFT, PBE
State: optimized geometry

Unit cell a=5.0866 b=5.0866 c=4.8204 alpha=90.00 beta=90.00 gamma=90.00
Fractional positions:
1 Li 0.1560 0.3440 0.0000
2 Li 0.3440 0.8440 0.0000
3 Li 0.6560 0.1560 0.0000
4 Li 0.8440 0.6560 0.0000
5 Mo 0.1969 0.6969 0.5000
6 Mo 0.3031 0.1969 0.5000
7 Mo 0.6969 0.8031 0.5000
8 Mo 0.8031 0.3031 0.5000
9 N 0.0000 0.0000 0.0000
10 N 0.5000 0.5000 0.0000

Excess energy over the best structure of this formula in the dataset, eV/atom: 0.000
Energy relative to the elements, uncorrected, eV per atom: 0.77
DOS at the Fermi energy, states/eV/f.u.: 2.89
V, Å³/cell: 124.7
VASP energy, eV per atom: -5.993
Mass density, g/cm³: 5.85

# 6
Material: LiMo4N4
Method: DFT, PBE
State: optimized geometry

Unit cell a=5.3320 b=5.3320 c=5.3320 alpha=98.91 beta=98.91 gamma=133.65
Fractional positions:
1 Li 0.0000 0.0000 0.0000
2 Mo 0.1684 0.5924 0.7608
3 Mo 0.4076 0.1684 0.5760
4 Mo 0.5924 0.8316 0.4240
5 Mo 0.8316 0.4076 0.2392
6 N 0.1160 0.2869 0.4029
7 N 0.2869 0.8840 0.1709
8 N 0.7131 0.1160 0.8291
9 N 0.8840 0.7131 0.5971

Energy relative to the elements, uncorrected, eV per atom: -0.29
DOS at the Fermi energy, states/eV/f.u.: 4.29
V, Å³/cell: 100.8
VASP energy, eV per atom: -9.015
Mass density, g/cm³: 7.36

# 7
Material: Li3MoN
Method: DFT, PBE
State: optimized geometry

Unit cell a=3.8547 b=3.8547 c=3.8547 alpha=90.00 beta=90.00 gamma=90.00
Fractional positions:
1 Li 0.0000 0.0000 0.5000
2 Li 0.0000 0.5000 0.0000
3 Li 0.5000 0.0000 0.0000
4 Mo 0.5000 0.5000 0.5000
5 N 0.0000 0.0000 0.0000

Excess energy over the best structure of this formula in the dataset, eV/atom: 0.000
Energy relative to the elements, uncorrected, eV per atom: 0.78
DOS at the Fermi energy, states/eV/f.u.: 2.93
V, Å³/cell: 57.3
VASP energy, eV per atom: -4.197
Mass density, g/cm³: 3.79

# 8
Material: LiMoN2
Method: DFT, PBE
State: optimized geometry

Unit cell a=5.7069 b=5.7069 c=5.7069 alpha=131.47 beta=131.47 gamma=71.07
Fractional positions:
1 Li 0.0000 0.0000 0.0000
2 Li 0.7500 0.2500 0.5000
3 Mo 0.2500 0.7500 0.5000
4 Mo 0.5000 0.5000 0.0000
5 N 0.1692 0.6250 0.0442
6 N 0.3750 0.4192 0.5442
7 N 0.5808 0.1250 0.9558
8 N 0.8750 0.8308 0.4558

Excess energy over the best structure of this formula in the dataset, eV/atom: 0.049
Energy relative to the elements, uncorrected, eV per atom: -0.45
DOS at the Fermi energy, states/eV/f.u.: 1.84
V, Å³/cell: 102.2
VASP energy, eV per atom: -7.801
Mass density, g/cm³: 4.25

# 9
Material: LiMoN2
Method: DFT, PBE
State: optimized geometry

Unit cell a=5.4573 b=5.4573 c=5.4573 alpha=31.51 beta=31.51 gamma=31.51
Fractional positions:
1 Li 0.0000 0.0000 0.0000
2 Mo 0.5000 0.5000 0.5000
3 N 0.2436 0.2436 0.2436
4 N 0.7564 0.7564 0.7564

Excess energy over the best structure of this formula in the dataset, eV/atom: 0.056
Energy relative to the elements, uncorrected, eV per atom: -0.44
DOS at the Fermi energy, states/eV/f.u.: 2.79
V, Å³/cell: 39.4
VASP energy, eV per atom: -7.794
Mass density, g/cm³: 5.52

# 10
Material: Li3Nb2MoN6
Method: DFT, PBE
State: optimized geometry

Unit cell a=5.2971 b=5.2971 c=5.4143 alpha=99.39 beta=99.39 gamma=120.00
Fractional positions:
1 Li 0.0000 0.0000 0.0000
2 Li 0.3353 0.6647 0.0000
3 Li 0.6647 0.3353 0.0000
4 Nb 0.1667 0.8333 0.5000
5 Nb 0.8333 0.1667 0.5000
6 Mo 0.5000 0.5000 0.5000
7 N 0.0968 0.4245 0.2740
8 N 0.2474 0.2474 0.7260
9 N 0.4245 0.0968 0.2740
10 N 0.5755 0.9032 0.7260
11 N 0.7526 0.7526 0.2740
12 N 0.9032 0.5755 0.7260

Energy relative to the elements, uncorrected, eV per atom: -0.70
DOS at the Fermi energy, states/eV/f.u.: 3.61
V, Å³/cell: 124.4
VASP energy, eV per atom: -7.919
Mass density, g/cm³: 5.16

# 11
Material: Li2NbMo3N6
Method: DFT, PBE
State: optimized geometry

Unit cell a=5.2041 b=5.2041 c=5.3101 alpha=98.92 beta=98.92 gamma=120.54
Fractional positions:
1 Li 0.1626 0.8374 0.0000
2 Li 0.8374 0.1626 0.0000
3 Nb 0.5000 0.5000 0.0000
4 Mo 0.0000 0.0000 0.5000
5 Mo 0.3140 0.6860 0.5000
6 Mo 0.6860 0.3140 0.5000
7 N 0.0811 0.4132 0.7593
8 N 0.2621 0.2621 0.2702
9 N 0.4132 0.0811 0.7593
10 N 0.5868 0.9189 0.2407
11 N 0.7379 0.7379 0.7298
12 N 0.9189 0.5868 0.2407

Energy relative to the elements, uncorrected, eV per atom: -0.65
DOS at the Fermi energy, states/eV/f.u.: 3.88
V, Å³/cell: 117.6
VASP energy, eV per atom: -8.683
Mass density, g/cm³: 6.76

# 12
Material: Li2NbMoN4
Method: DFT, PBE
State: optimized geometry

Unit cell a=5.0884 b=5.0884 c=5.0884 alpha=129.71 beta=129.71 gamma=73.88
Fractional positions:
1 Li 0.2500 0.7500 0.5000
2 Li 0.7500 0.2500 0.5000
3 Nb 0.0000 0.0000 0.0000
4 Mo 0.5000 0.5000 0.0000
5 N 0.0000 0.5000 0.5000
6 N 0.2576 0.2576 0.0000
7 N 0.5000 0.0000 0.5000
8 N 0.7424 0.7424 0.0000

Energy relative to the elements, uncorrected, eV per atom: -0.57
DOS at the Fermi energy, states/eV/f.u.: 1.32
V, Å³/cell: 76.1
VASP energy, eV per atom: -7.829
Mass density, g/cm³: 5.65

# 13
Material: Li2NdMoN4
Method: DFT, PBE
State: optimized geometry

Unit cell a=7.9016 b=5.2755 c=5.0183 alpha=90.00 beta=90.00 gamma=90.00
Fractional positions:
1 Li 0.2482 0.2150 0.0000
2 Li 0.2518 0.7850 0.5000
3 Li 0.7482 0.7850 0.5000
4 Li 0.7518 0.2150 0.0000
5 Nd 0.0000 0.2248 0.4944
6 Nd 0.5000 0.7752 0.9944
7 Mo 0.0000 0.6922 0.0244
8 Mo 0.5000 0.3078 0.5244
9 N 0.0000 0.3424 0.9689
10 N 0.0000 0.7124 0.3938
11 N 0.2021 0.8409 0.8974
12 N 0.2979 0.1591 0.3974
13 N 0.5000 0.2876 0.8938
14 N 0.5000 0.6576 0.4689
15 N 0.7021 0.1591 0.3974
16 N 0.7979 0.8409 0.8974

Energy relative to the elements, uncorrected, eV per atom: -0.62
DOS at the Fermi energy, states/eV/f.u.: 3.92
V, Å³/cell: 209.2
VASP energy, eV per atom: -7.212
Mass density, g/cm³: 4.92

# 14
Material: Li2NiMoN
Method: DFT, PBE
State: optimized geometry

Unit cell a=5.3567 b=5.3567 c=4.3796 alpha=90.00 beta=90.00 gamma=90.00
Fractional positions:
1 Li 0.0000 0.5000 0.0000
2 Li 0.5000 0.0000 0.0000
3 Ni 0.0000 0.0000 0.5000
4 Mo 0.0000 0.0000 0.0000
5 N 0.5000 0.5000 0.5000

Energy relative to the elements, uncorrected, eV per atom: 2.16
DOS at the Fermi energy, states/eV/f.u.: 2.74
V, Å³/cell: 125.7
VASP energy, eV per atom: -3.594
Mass density, g/cm³: 2.41

# 15
Material: Li4NpMo3N8
Method: DFT, PBE
State: optimized geometry

Unit cell a=6.2207 b=6.2207 c=6.2207 alpha=59.52 beta=59.52 gamma=59.52
Fractional positions:
1 Li 0.0000 0.0000 0.0000
2 Li 0.0000 0.5000 0.5000
3 Li 0.5000 0.0000 0.5000
4 Li 0.5000 0.5000 0.0000
5 Np 0.5000 0.5000 0.5000
6 Mo 0.0000 0.0000 0.5000
7 Mo 0.0000 0.5000 0.0000
8 Mo 0.5000 0.0000 0.0000
9 N 0.2369 0.7425 0.7425
10 N 0.2413 0.2413 0.2413
11 N 0.2575 0.2575 0.7631
12 N 0.2575 0.7631 0.2575
13 N 0.7425 0.2369 0.7425
14 N 0.7425 0.7425 0.2369
15 N 0.7587 0.7587 0.7587
16 N 0.7631 0.2575 0.2575

Energy relative to the elements, uncorrected, eV per atom: -0.58
DOS at the Fermi energy, states/eV/f.u.: 9.11
V, Å³/cell: 168.4
VASP energy, eV per atom: -8.057
Mass density, g/cm³: 6.56

# 16
Material: Li2NpMo3N6
Method: DFT, PBE
State: optimized geometry

Unit cell a=5.2613 b=5.2613 c=5.5009 alpha=98.46 beta=98.46 gamma=120.80
Fractional positions:
1 Li 0.1661 0.8339 0.0000
2 Li 0.8339 0.1661 0.0000
3 Np 0.5000 0.5000 0.0000
4 Mo 0.0000 0.0000 0.5000
5 Mo 0.3135 0.6865 0.5000
6 Mo 0.6865 0.3135 0.5000
7 N 0.0754 0.4090 0.7473
8 N 0.2622 0.2622 0.2750
9 N 0.4090 0.0754 0.7473
10 N 0.5910 0.9246 0.2527
11 N 0.7378 0.7378 0.7250
12 N 0.9246 0.5910 0.2527

Energy relative to the elements, uncorrected, eV per atom: -0.75
DOS at the Fermi energy, states/eV/f.u.: 7.05
V, Å³/cell: 124.8
VASP energy, eV per atom: -9.017
Mass density, g/cm³: 8.28

# 17
Material: Li2NpMoN4
Method: DFT, PBE
State: optimized geometry

Unit cell a=6.3551 b=6.3551 c=9.3641 alpha=90.00 beta=90.00 gamma=150.54
Fractional positions:
1 Li 0.0910 0.9090 0.5389
2 Li 0.0910 0.9090 0.9611
3 Li 0.9090 0.0910 0.0389
4 Li 0.9090 0.0910 0.4611
5 Np 0.4562 0.5438 0.7500
6 Np 0.5438 0.4562 0.2500
7 Mo 0.2829 0.7171 0.2500
8 Mo 0.7171 0.2829 0.7500
9 N 0.1036 0.8964 0.7500
10 N 0.1846 0.8154 0.1125
11 N 0.1846 0.8154 0.3875
12 N 0.5000 0.5000 0.0000
13 N 0.5000 0.5000 0.5000
14 N 0.8154 0.1846 0.6125
15 N 0.8154 0.1846 0.8875
16 N 0.8964 0.1036 0.2500

Energy relative to the elements, uncorrected, eV per atom: -0.38
DOS at the Fermi energy, states/eV/f.u.: 5.49
V, Å³/cell: 186.0
VASP energy, eV per atom: -7.994
Mass density, g/cm³: 7.19

# 18
Material: LiPa2MoN4
Method: DFT, PBE
State: optimized geometry

Unit cell a=5.2360 b=3.4629 c=6.0575 alpha=90.00 beta=112.47 gamma=90.00
Fractional positions:
1 Li 0.0000 0.0000 0.0000
2 Pa 0.5000 0.0000 0.5000
3 Pa 0.5000 0.5000 0.0000
4 Mo 0.0000 0.5000 0.5000
5 N 0.2409 0.0000 0.7495
6 N 0.2589 0.5000 0.2549
7 N 0.7411 0.5000 0.7451
8 N 0.7591 0.0000 0.2505

Energy relative to the elements, uncorrected, eV per atom: -1.13
DOS at the Fermi energy, states/eV/f.u.: 4.51
V, Å³/cell: 101.5
VASP energy, eV per atom: -9.255
Mass density, g/cm³: 10.16

# 19
Material: LiPaMoN4
Method: DFT, PBE
State: optimized geometry

Unit cell a=6.9749 b=6.9749 c=6.9749 alpha=149.54 beta=149.54 gamma=43.62
Fractional positions:
1 Li 0.0000 0.0000 0.0000
2 Pa 0.6868 0.6868 0.0000
3 Mo 0.3619 0.3619 0.0000
4 N 0.1481 0.1481 0.0000
5 N 0.3076 0.8076 0.5000
6 N 0.5009 0.5009 0.0000
7 N 0.8076 0.3076 0.5000

Energy relative to the elements, uncorrected, eV per atom: -0.71
DOS at the Fermi energy, states/eV/f.u.: 2.16
V, Å³/cell: 87.0
VASP energy, eV per atom: -8.647
Mass density, g/cm³: 7.44

# 20
Material: LiPa2MoN5
Method: DFT, PBE
State: optimized geometry

Unit cell a=6.7870 b=6.7870 c=9.7244 alpha=90.00 beta=90.00 gamma=151.95
Fractional positions:
1 Li 0.0208 0.9792 0.5000
2 Li 0.9792 0.0208 0.0000
3 Pa 0.3647 0.6353 0.3391
4 Pa 0.3849 0.6151 0.7217
5 Pa 0.6151 0.3849 0.2217
6 Pa 0.6353 0.3647 0.8391
7 Mo 0.3106 0.6894 0.0395
8 Mo 0.6894 0.3106 0.5395
9 N 0.0049 0.9951 0.7997
10 N 0.1410 0.8590 0.0361
11 N 0.1926 0.8074 0.3947
12 N 0.2102 0.7898 0.6928
13 N 0.4451 0.5549 0.0881
14 N 0.5549 0.4451 0.5881
15 N 0.7898 0.2102 0.1928
16 N 0.8074 0.1926 0.8947
17 N 0.8590 0.1410 0.5361
18 N 0.9951 0.0049 0.2997

Energy relative to the elements, uncorrected, eV per atom: -1.06
DOS at the Fermi energy, states/eV/f.u.: 3.72
V, Å³/cell: 210.7
VASP energy, eV per atom: -9.216
Mass density, g/cm³: 10.01

# 21
Material: LiPa2MoN6
Method: DFT, PBE
State: optimized geometry

Unit cell a=5.2958 b=5.2958 c=4.9013 alpha=90.00 beta=90.00 gamma=90.00
Fractional positions:
1 Li 0.0000 0.0000 0.0000
2 Pa 0.0000 0.5000 0.4071
3 Pa 0.5000 0.0000 0.4071
4 Mo 0.5000 0.5000 0.0164
5 N 0.0000 0.0000 0.5768
6 N 0.2562 0.2562 0.1664
7 N 0.2562 0.7438 0.1664
8 N 0.5000 0.5000 0.6401
9 N 0.7438 0.2562 0.1664
10 N 0.7438 0.7438 0.1664

Energy relative to the elements, uncorrected, eV per atom: -0.72
DOS at the Fermi energy, states/eV/f.u.: 1.21
V, Å³/cell: 137.5
VASP energy, eV per atom: -8.886
Mass density, g/cm³: 7.84

# 22
Material: Li2PmMoN4
Method: DFT, PBE
State: optimized geometry

Unit cell a=7.8973 b=5.2909 c=4.9543 alpha=90.00 beta=90.00 gamma=90.00
Fractional positions:
1 Li 0.2488 0.2136 0.0000
2 Li 0.2512 0.7864 0.5000
3 Li 0.7488 0.7864 0.5000
4 Li 0.7512 0.2136 0.0000
5 Pm 0.0000 0.2289 0.4930
6 Pm 0.5000 0.7711 0.9930
7 Mo 0.0000 0.6905 0.0271
8 Mo 0.5000 0.3095 0.5271
9 N 0.0000 0.3416 0.9701
10 N 0.0000 0.7072 0.4012
11 N 0.2040 0.8391 0.9055
12 N 0.2960 0.1609 0.4055
13 N 0.5000 0.2928 0.9012
14 N 0.5000 0.6584 0.4701
15 N 0.7040 0.1609 0.4055
16 N 0.7960 0.8391 0.9055

Energy relative to the elements, uncorrected, eV per atom: -0.63
DOS at the Fermi energy, states/eV/f.u.: 3.68
V, Å³/cell: 207.0
VASP energy, eV per atom: -7.218
Mass density, g/cm³: 4.99